# 1
The following is a DFT calculation (PBE) of Na2NpCdTe4 after structural relaxation.

a b c (Å): 4.421 7.683 7.979
angles (deg): 109.91 90.00 90.00
Positions (direct):
Na1 0.500 0.000 0.500
Na2 0.000 0.500 0.500
Np1 0.500 0.500 0.000
Cd1 0.000 0.000 0.000
Te1 0.500 0.238 0.219
Te2 0.500 0.762 0.781
Te3 0.000 0.266 0.761
Te4 0.000 0.734 0.239

Summary:
The space-group type is No. 10. Its density of states at the Fermi level is 8.2 states/eV/f.u. For the total energy, the calculation gives -4.30 eV per atom.



# 2
The following is a DFT calculation (PBE) of ScAl after structural relaxation.

a b c (Å): 6.928 6.928 3.102
angles (deg): 90.00 90.00 120.00
Positions (direct):
Sc1 0.421 0.000 0.000
Sc2 0.000 0.421 0.000
Sc3 0.579 0.579 0.000
Al1 0.778 0.000 0.500
Al2 0.000 0.778 0.500
Al3 0.222 0.222 0.500

Summary:
The space-group type is No. 189. The formation energy comes out at -0.212 eV per atom. Its density of states at the Fermi level is 1.9 states/eV/f.u.



# 3
The following is a DFT calculation (PBE) of EuTmPdRu after structural relaxation.

a b c (Å): 4.900 4.900 4.900
angles (deg): 60.00 60.00 60.00
Positions (direct):
Eu1 0.500 0.500 0.500
Ru1 0.750 0.750 0.750
Tm1 0.000 0.000 0.000
Pd1 0.250 0.250 0.250

Summary:
The space-group type is No. 216. The formation energy comes out at -0.380 eV per atom. Its density of states at the Fermi level is 9.8 states/eV/f.u.



# 4
The following is a DFT calculation (PBE) of AlZnOs2 after structural relaxation.

a b c (Å): 5.031 5.031 4.566
angles (deg): 67.94 67.94 32.47
Positions (direct):
Zn1 0.489 0.489 0.579
Os1 0.012 0.012 0.073
Os2 0.739 0.739 0.674
Al1 0.260 0.260 0.173

Summary:
The space-group type is No. 8. The formation energy comes out at -0.024 eV per atom. Its density of states at the Fermi level is 3.3 states/eV/f.u.



# 5
The following is a DFT calculation (PBE) of LiIrCl2 after structural relaxation.

a b c (Å): 7.570 5.802 3.171
angles (deg): 57.16 114.35 139.91
Positions (direct):
Cl1 0.000 0.000 0.000
Cl2 0.500 0.000 0.500
Ir1 0.000 0.500 0.500
Li1 0.500 0.500 0.000

Summary:
The space-group type is No. 12. Its density of states at the Fermi level is 2.9 states/eV/f.u. Its polymorph energy (0 for the lowest one) is 0.249 eV per atom.



# 6
The following is a DFT calculation (PBE) of Tb3P5N12 after structural relaxation.

a b c (Å): 10.205 10.205 10.205
angles (deg): 109.47 109.47 109.47
Positions (direct):
Tb1 0.750 0.375 0.125
Tb2 0.875 0.750 0.125
Tb3 0.375 0.750 0.625
Tb4 0.250 0.125 0.375
Tb5 0.875 0.125 0.250
Tb6 0.375 0.625 0.250
Tb7 0.625 0.375 0.750
Tb8 0.125 0.875 0.750
Tb9 0.750 0.875 0.625
Tb10 0.625 0.250 0.375
Tb11 0.125 0.250 0.875
Tb12 0.250 0.625 0.875
P1 0.125 0.375 0.250
P2 0.000 0.500 0.000
P3 0.000 0.000 0.000
P4 0.375 0.250 0.125
P5 0.500 0.000 0.500
P6 0.500 0.500 0.000
P7 0.125 0.750 0.375
P8 0.750 0.125 0.875
P9 0.750 0.625 0.375
P10 0.375 0.125 0.750
P11 0.625 0.875 0.250
P12 0.500 0.500 0.500
P13 0.500 0.000 0.000
P14 0.000 0.000 0.500
P15 0.250 0.375 0.625
P16 0.250 0.875 0.125
P17 0.000 0.500 0.500
P18 0.875 0.250 0.625
P19 0.625 0.750 0.875
P20 0.875 0.625 0.750
N1 0.691 0.110 0.007
N2 0.316 0.507 0.397
N3 0.993 0.390 0.309
N4 0.507 0.191 0.110
N5 0.581 0.691 0.684
N6 0.993 0.603 0.184
N7 0.316 0.809 0.419
N8 0.103 0.919 0.110
N9 0.603 0.993 0.684
N10 0.691 0.581 0.184
N11 0.809 0.493 0.390
N12 0.816 0.897 0.007
N13 0.110 0.691 0.507
N14 0.390 0.397 0.081
N15 0.081 0.897 0.390
N16 0.419 0.110 0.603
N17 0.081 0.184 0.191
N18 0.493 0.684 0.103
N19 0.816 0.919 0.309
N20 0.110 0.419 0.103
N21 0.390 0.993 0.809
N22 0.603 0.610 0.419
N23 0.897 0.816 0.507
N24 0.809 0.316 0.919
N25 0.397 0.390 0.581
N26 0.103 0.184 0.493
N27 0.191 0.684 0.081
N28 0.184 0.081 0.691
N29 0.610 0.007 0.191
N30 0.890 0.581 0.897
N31 0.507 0.316 0.897
N32 0.581 0.890 0.397
N33 0.919 0.816 0.809
N34 0.919 0.103 0.610
N35 0.890 0.309 0.493
N36 0.184 0.103 0.993
N37 0.610 0.603 0.919
N38 0.397 0.007 0.316
N39 0.309 0.419 0.816
N40 0.191 0.507 0.610
N41 0.897 0.081 0.890
N42 0.684 0.191 0.581
N43 0.493 0.809 0.890
N44 0.007 0.397 0.816
N45 0.419 0.309 0.316
N46 0.007 0.610 0.691
N47 0.684 0.493 0.603
N48 0.309 0.890 0.993

Summary:
The space-group type is No. 230. Its density of states at the Fermi level is 14.4 states/eV/f.u. For the total energy, the calculation gives -7.57 eV per atom.



# 7
The following is a DFT calculation (PBE) of Ru5Pb after structural relaxation.

a b c (Å): 7.612 7.612 4.348
angles (deg): 90.00 90.00 158.23
Positions (direct):
Ru1 0.321 0.679 0.000
Ru2 0.679 0.321 0.000
Ru3 0.432 0.568 0.500
Ru4 0.778 0.222 0.500
Ru5 0.121 0.879 0.500
Pb1 0.002 0.998 0.000

Summary:
The space-group type is No. 38. The formation energy comes out at 0.371 eV per atom. Its density of states at the Fermi level is 7.0 states/eV/f.u. Its polymorph energy (0 for the lowest one) is 0.048 eV per atom.



# 8
The following is a DFT calculation (PBE) of CsBaLiF2 after structural relaxation.

a b c (Å): 4.664 5.684 4.664
angles (deg): 90.00 90.00 90.00
Positions (direct):
Cs1 0.500 0.500 0.500
Li1 0.000 0.000 0.000
Ba1 0.000 0.500 0.000
F1 0.000 0.000 0.500
F2 0.500 0.000 0.000

Summary:
The space-group type is No. 123. Its density of states at the Fermi level is 4.6 states/eV/f.u. For the total energy, the calculation gives -2.83 eV per atom.



# 9
The following is a DFT calculation (PBE) of MgZn3O3 after structural relaxation.

a b c (Å): 5.801 5.801 5.801
angles (deg): 90.00 90.00 90.00
Positions (direct):
Mg1 0.000 0.000 0.000
Mg2 0.500 0.500 0.500
Zn1 0.250 0.000 0.500
Zn2 0.750 0.000 0.500
Zn3 0.000 0.500 0.250
Zn4 0.000 0.500 0.750
Zn5 0.500 0.250 0.000
Zn6 0.500 0.750 0.000
O1 0.250 0.500 0.000
O2 0.750 0.500 0.000
O3 0.500 0.000 0.250
O4 0.500 0.000 0.750
O5 0.000 0.250 0.500
O6 0.000 0.750 0.500

Summary:
The space-group type is No. 223. Its density of states at the Fermi level is 0.5 states/eV/f.u. For the total energy, the calculation gives -3.87 eV per atom.



# 10
The following is a DFT calculation (PBE) of CeDy2Ge4 after structural relaxation.

a b c (Å): 4.041 4.286 9.603
angles (deg): 102.90 102.15 90.00
Positions (direct):
Ge1 0.658 0.658 0.316
Ge2 0.342 0.342 0.684
Ge3 0.067 0.567 0.134
Ge4 0.933 0.433 0.866
Ce1 0.500 0.000 0.000
Dy1 0.818 0.818 0.636
Dy2 0.182 0.182 0.364

Summary:
The space-group type is No. 71. The formation energy comes out at -0.743 eV per atom. Its density of states at the Fermi level is 7.1 states/eV/f.u.



# 11
The following is a DFT calculation (PBE) of SrNi3GeP after structural relaxation.

a b c (Å): 5.727 6.224 6.824
angles (deg): 117.13 90.00 90.00
Positions (direct):
Sr1 0.750 0.241 0.482
Sr2 0.250 0.759 0.518
Ni1 0.250 0.241 0.482
Ni2 0.000 0.292 0.000
Ni3 0.500 0.708 0.000
Ni4 0.500 0.292 0.000
Ni5 0.000 0.708 0.000
Ni6 0.750 0.759 0.518
Ge1 0.250 0.054 0.108
Ge2 0.750 0.946 0.892
P1 0.250 0.413 0.827
P2 0.750 0.587 0.173

Summary:
The space-group type is No. 63. The formation energy comes out at -0.413 eV per atom. Its density of states at the Fermi level is 3.9 states/eV/f.u.



# 12
The following is a DFT calculation (PBE) of Ac2Pr15Y2 after structural relaxation.

a b c (Å): 9.086 9.086 9.086
angles (deg): 80.17 80.17 80.17
Positions (direct):
Ac1 0.673 0.673 0.673
Ac2 0.327 0.327 0.327
Pr1 0.500 0.000 0.000
Pr2 0.000 0.000 0.500
Pr3 0.000 0.500 0.000
Pr4 0.000 0.292 0.708
Pr5 0.292 0.708 0.000
Pr6 0.708 0.000 0.292
Pr7 0.708 0.292 0.000
Pr8 0.292 0.000 0.708
Pr9 0.000 0.708 0.292
Pr10 0.849 0.367 0.367
Pr11 0.367 0.367 0.849
Pr12 0.367 0.849 0.367
Pr13 0.151 0.633 0.633
Pr14 0.633 0.633 0.151
Pr15 0.633 0.151 0.633
Y1 0.906 0.906 0.906
Y2 0.094 0.094 0.094

Summary:
The space-group type is No. 166. The formation energy comes out at 0.202 eV per atom. Its density of states at the Fermi level is 33.1 states/eV/f.u.



# 13
The following is a DFT calculation (PBE) of ZnInNi2 after structural relaxation.

a b c (Å): 4.302 4.302 4.302
angles (deg): 60.00 60.00 60.00
Positions (direct):
In1 0.500 0.500 0.500
Ni1 0.000 0.000 0.000
Ni2 0.250 0.250 0.250
Zn1 0.750 0.750 0.750

Summary:
The space-group type is No. 216. The formation energy comes out at 0.006 eV per atom. Its density of states at the Fermi level is 2.4 states/eV/f.u.



# 14
The following is a DFT calculation (PBE) of Sc2TaRh after structural relaxation.

a b c (Å): 3.172 4.827 4.827
angles (deg): 90.00 90.00 90.00
Positions (direct):
Rh1 0.500 0.000 0.500
Sc1 0.000 0.000 0.000
Sc2 0.000 0.500 0.500
Ta1 0.500 0.500 0.000

Summary:
The space-group type is No. 123. The formation energy comes out at -0.182 eV per atom. Its density of states at the Fermi level is 5.6 states/eV/f.u. Its polymorph energy (0 for the lowest one) is 0.182 eV per atom.



# 15
The following is a DFT calculation (PBE) of LiAgTeAu after structural relaxation.

a b c (Å): 4.852 4.852 4.852
angles (deg): 60.00 60.00 60.00
Positions (direct):
Te1 0.250 0.250 0.250
Au1 0.750 0.750 0.750
Ag1 0.500 0.500 0.500
Li1 0.000 0.000 0.000

Summary:
The space-group type is No. 216. Its density of states at the Fermi level is 2.0 states/eV/f.u. For the total energy, the calculation gives -3.02 eV per atom.



# 16
The following is a DFT calculation (PBE) of K2ScBr after structural relaxation.

a b c (Å): 11.954 11.954 11.954
angles (deg): 18.55 18.55 18.55
Positions (direct):
Br1 0.761 0.761 0.761
K1 0.020 0.020 0.020
K2 0.239 0.239 0.239
Sc1 0.480 0.480 0.480

Summary:
The space-group type is No. 160. Its density of states at the Fermi level is 3.0 states/eV/f.u. Its polymorph energy (0 for the lowest one) is 0.036 eV per atom.



# 17
The following is a DFT calculation (PBE) of Li2PaSn3Te6 after structural relaxation.

a b c (Å): 7.654 7.654 7.841
angles (deg): 99.22 99.22 120.02
Positions (direct):
Li1 0.326 0.674 0.000
Li2 0.674 0.326 0.000
Pa1 0.000 0.000 0.000
Sn1 0.161 0.839 0.500
Sn2 0.839 0.161 0.500
Sn3 0.500 0.500 0.500
Te1 0.919 0.590 0.764
Te2 0.749 0.749 0.242
Te3 0.081 0.410 0.236
Te4 0.590 0.919 0.764
Te5 0.251 0.251 0.758
Te6 0.410 0.081 0.236

Summary:
The space-group type is No. 12. Its density of states at the Fermi level is 3.5 states/eV/f.u. For the total energy, the calculation gives -4.25 eV per atom.



# 18
The following is a DFT calculation (PBE) of SrRhCl2 after structural relaxation.

a b c (Å): 5.744 5.744 4.887
angles (deg): 90.77 90.77 39.22
Positions (direct):
Sr1 0.251 0.251 0.189
Rh1 0.546 0.546 0.411
Cl1 0.972 0.972 0.192
Cl2 0.731 0.731 0.709

Summary:
The space-group type is No. 8. Its density of states at the Fermi level is 1.8 states/eV/f.u. Its polymorph energy (0 for the lowest one) is 0.025 eV per atom.



# 19
The following is a DFT calculation (PBE) of Pm2Ge4PdAu3 after structural relaxation.

a b c (Å): 4.350 4.350 10.861
angles (deg): 90.00 90.00 90.00
Positions (direct):
Pm1 0.500 0.000 0.264
Pm2 0.000 0.500 0.736
Ge1 0.500 0.500 0.000
Ge2 0.000 0.000 0.000
Ge3 0.500 0.000 0.630
Ge4 0.000 0.500 0.370
Pd1 0.500 0.500 0.500
Au1 0.000 0.000 0.500
Au2 0.500 0.000 0.860
Au3 0.000 0.500 0.140

Summary:
The space-group type is No. 115. The formation energy comes out at -0.599 eV per atom. Its density of states at the Fermi level is 4.2 states/eV/f.u.



# 20
The following is a DFT calculation (PBE) of Ta2Ti6Bi after structural relaxation.

a b c (Å): 4.673 8.904 8.903
angles (deg): 74.43 90.00 90.00
Positions (direct):
Ta1 0.250 0.645 0.781
Ta2 0.250 0.219 0.355
Ta3 0.750 0.355 0.219
Ta4 0.750 0.781 0.645
Ti1 0.250 0.770 0.449
Ti2 0.250 0.551 0.230
Ti3 0.750 0.230 0.551
Ti4 0.750 0.449 0.770
Ti5 0.750 0.021 0.384
Ti6 0.750 0.616 0.979
Ti7 0.250 0.979 0.616
Ti8 0.250 0.384 0.021
Ti9 0.250 0.837 0.966
Ti10 0.250 0.034 0.163
Ti11 0.750 0.163 0.034
Ti12 0.750 0.966 0.837
Bi1 0.250 0.203 0.797
Bi2 0.750 0.797 0.203

Summary:
The space-group type is No. 63. The formation energy comes out at 0.248 eV per atom. Its density of states at the Fermi level is 11.7 states/eV/f.u.